1.
Entry from Alexandria via LeMat-Bulk: an optimized crystal structure of CaAc3Sm (GGA-PBE).

abc: 5.5795 12.1747 8.6593
angles: 134.55 90.00 90.00
Last column: nearest neighbours and their distance in Å.
Fractional positions:
1 Ca 0.7500 0.2452 0.9869  3 Sm 3.78-3.89, 9 Ac 3.81-4.01
2 Ca 0.2500 0.7548 0.0131  3 Sm 3.78-3.89, 9 Ac 3.81-4.01
3 Ac 0.2500 0.1463 0.1987  3 Ca 3.81-3.96, 6 Ac 3.83-3.97, 3 Sm 3.90-3.93
4 Ac 0.7500 0.8537 0.8013  3 Ca 3.81-3.96, 6 Ac 3.83-3.97, 3 Sm 3.90-3.93
5 Ac 0.7500 0.4414 0.5933  1 Sm 3.79, 8 Ac 3.88-3.98, 3 Ca 3.96-4.01
6 Ac 0.2500 0.5586 0.4067  1 Sm 3.79, 8 Ac 3.88-3.98, 3 Ca 3.96-4.01
7 Ac 0.2500 0.3394 0.7870  3 Sm 3.78-3.84, 6 Ac 3.83-4.06, 3 Ca 3.86-3.94
8 Ac 0.7500 0.6606 0.2130  3 Sm 3.78-3.84, 6 Ac 3.83-4.06, 3 Ca 3.86-3.94
9 Sm 0.2500 0.9489 0.5951  3 Ca 3.78-3.89, 7 Ac 3.78-3.93, 2 Sm 3.86
10 Sm 0.7500 0.0511 0.4049  3 Ca 3.78-3.89, 7 Ac 3.78-3.93, 2 Sm 3.86

Computed properties:
The value obtained for the magnetization is 0.000 μB per atom. For the energy relative to the lowest polymorph listed for this composition, the calculation gives 0 kJ/mol of formula units. As for the total energy: -3.757 eV/atom. The symmetry is No. 11.

***

2.
Entry from Alexandria via LeMat-Bulk: an optimized crystal structure of CdHPt (GGA-PBE).

abc: 5.0594 5.3801 14.4771
angles: 105.68 90.00 90.00
Last column: nearest neighbours and their distance in Å.
Fractional positions:
1 H 0.3226 0.5771 0.4533  1 Pt 1.62
2 H 0.4781 0.4055 0.0841  2 Pt 1.73-1.78
3 H 0.1437 0.1717 0.8654  3 Pt 1.81-1.93
4 H 0.0420 0.6122 0.1725  1 Pt 1.67
5 H 0.8226 0.4230 0.5467  1 Pt 1.62
6 H 0.9781 0.5945 0.9159  2 Pt 1.73-1.78
7 H 0.6437 0.8283 0.1346  3 Pt 1.81-1.93
8 H 0.5420 0.3878 0.8275  1 Pt 1.67
9 Pt 0.8756 0.9179 0.2449  2 H 1.89-1.93
10 Pt 0.8665 0.3278 0.8224  3 H 1.67-1.83
11 Pt 0.2595 0.7232 0.3718  1 H 1.62
12 Pt 0.0526 0.8483 0.8685  2 H 1.73-1.81
13 Pt 0.7595 0.2768 0.6282  1 H 1.62
14 Pt 0.3665 0.6722 0.1776  3 H 1.67-1.83
15 Pt 0.5526 0.1517 0.1315  2 H 1.73-1.81
16 Pt 0.3756 0.0821 0.7551  2 H 1.89-1.93
17 Cd 0.2709 0.0047 0.5607  1 H 2.42
18 Cd 0.0621 0.9768 0.0655  3 H 2.56-2.81, 4 Pt 2.73-2.86
19 Cd 0.3289 0.1850 0.3194  1 H 2.45
20 Cd 0.2975 0.5380 0.7044  1 H 2.48, 1 Pt 2.77
21 Cd 0.5621 0.0231 0.9345  3 H 2.56-2.81, 4 Pt 2.73-2.86
22 Cd 0.7709 0.9953 0.4393  1 H 2.42
23 Cd 0.8289 0.8151 0.6806  1 H 2.45
24 Cd 0.7974 0.4620 0.2956  1 H 2.48, 1 Pt 2.77

Computed properties:
The value obtained for the magnetization is 0.000 μB per atom. For the energy relative to the lowest polymorph listed for this composition, the calculation gives 6 kJ/mol of formula units. As for the total energy: -3.563 eV/atom. The symmetry is No. 4.

***

3.
Entry from Alexandria via LeMat-Bulk: an optimized crystal structure of YScSnAu (GGA-PBE).

abc: 5.0902 5.0902 5.0902
angles: 60.00 60.00 60.00
Last column: nearest neighbours and their distance in Å.
Fractional positions:
1 Y 0.7500 0.7500 0.7500  4 Sn 3.12, 4 Au 3.12
2 Sc 0.2500 0.2500 0.2500  4 Sn 3.12, 4 Au 3.12
3 Au 0.5000 0.5000 0.5000  4 Y 3.12, 4 Sc 3.12
4 Sn 0.0000 0.0000 0.0000  4 Sc 3.12, 4 Y 3.12

Computed properties:
The value obtained for the magnetization is 0.181 μB per atom. As for the total energy: -5.707 eV/atom. The symmetry is No. 216.

***

4.
Entry from Alexandria via LeMat-Bulk: an optimized crystal structure of La3PmPb2S (GGA-PBE).

abc: 5.2924 5.3666 9.2909
angles: 106.79 106.55 90.00
Last column: nearest neighbours and their distance in Å.
Fractional positions:
1 La 0.0000 0.5000 0.0000  2 S 2.68
2 La 0.1698 0.1698 0.3397  1 S 2.88
3 La 0.8302 0.8302 0.6603  1 S 2.88
4 Pm 0.5000 0.0000 0.0000  2 S 2.65
5 Pb 0.6348 0.6348 0.2696  3 La 3.32-3.50, 2 Pm 3.53
6 Pb 0.3652 0.3652 0.7304  3 La 3.32-3.50, 2 Pm 3.53
7 S 0.0000 0.0000 0.0000  2 Pm 2.65, 4 La 2.68-2.88

Computed properties:
The value obtained for the magnetization is 0.000 μB per atom. The formation energy from raw total energies is -0.872 eV per atom. As for the total energy: -5.312 eV/atom. The symmetry is No. 71.

***

What did the second record say?
Entry from Alexandria via LeMat-Bulk: an optimized crystal structure of CdHPt (GGA-PBE).

abc: 5.0594 5.3801 14.4771
angles: 105.68 90.00 90.00
Last column: nearest neighbours and their distance in Å.
Fractional positions:
1 H 0.3226 0.5771 0.4533  1 Pt 1.62
2 H 0.4781 0.4055 0.0841  2 Pt 1.73-1.78
3 H 0.1437 0.1717 0.8654  3 Pt 1.81-1.93
4 H 0.0420 0.6122 0.1725  1 Pt 1.67
5 H 0.8226 0.4230 0.5467  1 Pt 1.62
6 H 0.9781 0.5945 0.9159  2 Pt 1.73-1.78
7 H 0.6437 0.8283 0.1346  3 Pt 1.81-1.93
8 H 0.5420 0.3878 0.8275  1 Pt 1.67
9 Pt 0.8756 0.9179 0.2449  2 H 1.89-1.93
10 Pt 0.8665 0.3278 0.8224  3 H 1.67-1.83
11 Pt 0.2595 0.7232 0.3718  1 H 1.62
12 Pt 0.0526 0.8483 0.8685  2 H 1.73-1.81
13 Pt 0.7595 0.2768 0.6282  1 H 1.62
14 Pt 0.3665 0.6722 0.1776  3 H 1.67-1.83
15 Pt 0.5526 0.1517 0.1315  2 H 1.73-1.81
16 Pt 0.3756 0.0821 0.7551  2 H 1.89-1.93
17 Cd 0.2709 0.0047 0.5607  1 H 2.42
18 Cd 0.0621 0.9768 0.0655  3 H 2.56-2.81, 4 Pt 2.73-2.86
19 Cd 0.3289 0.1850 0.3194  1 H 2.45
20 Cd 0.2975 0.5380 0.7044  1 H 2.48, 1 Pt 2.77
21 Cd 0.5621 0.0231 0.9345  3 H 2.56-2.81, 4 Pt 2.73-2.86
22 Cd 0.7709 0.9953 0.4393  1 H 2.42
23 Cd 0.8289 0.8151 0.6806  1 H 2.45
24 Cd 0.7974 0.4620 0.2956  1 H 2.48, 1 Pt 2.77

Computed properties:
The value obtained for the magnetization is 0.000 μB per atom. For the energy relative to the lowest polymorph listed for this composition, the calculation gives 6 kJ/mol of formula units. As for the total energy: -3.563 eV/atom. The symmetry is No. 4.

***

Number 3 is which compound? YScSnAu

***

Which value of magnetization does entry 3 give? 0.181 μB per atom

***

What is the total energy in the third record? -5.707 eV/atom